## MnB2RhF (GGA+U)

Data for a relaxed MnB2RhF crystal.

Cell and atoms, written as CIF:
```
data_MnB2RhF
_chemical_formula_sum 'Mn1 B2 Rh1 F1'
_symmetry_space_group_name_H-M 'P 1'
_symmetry_Int_Tables_number 1
_symmetry_space_group_name_Hall 'P 1'
_cell_length_a 3.833
_cell_length_b 3.833
_cell_length_c 4.940
_cell_angle_alpha 90.00
_cell_angle_beta 90.00
_cell_angle_gamma 90.00
loop_
_atom_site_label
_atom_site_fract_x
_atom_site_fract_y
_atom_site_fract_z
Mn1 0.000 0.000 0.000
B1 0.000 0.500 0.000
B2 0.500 0.000 0.000
Rh1 0.000 0.000 0.500
F1 0.500 0.500 0.500
```

Its volume is 14.5 A^3/atom. Its crystal system is tetragonal. The raw total energy is -23.2 eV per formula unit. The symmetry is P4/mmm.

## Eu2NbWO6 (GGA+U)

Data for a relaxed Eu2NbWO6 crystal.

Cell and atoms, written as CIF:
```
data_Eu2NbWO6
_chemical_formula_sum 'Eu2 Nb1 W1 O6'
_symmetry_space_group_name_H-M 'P 1'
_symmetry_Int_Tables_number 1
_symmetry_space_group_name_Hall 'P 1'
_cell_length_a 5.819
_cell_length_b 5.819
_cell_length_c 5.819
_cell_angle_alpha 60.00
_cell_angle_beta 60.00
_cell_angle_gamma 60.00
loop_
_atom_site_label
_atom_site_fract_x
_atom_site_fract_y
_atom_site_fract_z
Eu1 0.250 0.250 0.250
Eu2 0.750 0.750 0.750
Nb1 0.000 0.000 0.000
W1 0.500 0.500 0.500
O1 0.244 0.244 0.756
O2 0.244 0.756 0.244
O3 0.244 0.756 0.756
O4 0.756 0.244 0.244
O5 0.756 0.244 0.756
O6 0.756 0.756 0.244
```

Its volume is 13.9 A^3/atom. Its crystal system is cubic. The raw total energy is -92.9 eV per formula unit. The symmetry is Fm-3m.